First-principles (PBE) data for a geometry-optimized SrYSc2Rh structure, as listed in the Alexandria database.

Cell and atoms, written as CIF:
```
data_SrYSc2Rh
_space_group_name_H-M_alt 'P 1'
_space_group_IT_number 1
_space_group_name_Hall 'P 1'
_cell_length_a 5.2102
_cell_length_b 5.2102
_cell_length_c 5.4554
_cell_angle_alpha 90.00
_cell_angle_beta 90.00
_cell_angle_gamma 90.00
loop_
_atom_site_label
_atom_site_type_symbol
_atom_site_fract_x
_atom_site_fract_y
_atom_site_fract_z
Sr1 Sr 0.0000 0.0000 0.0000
Y1 Y 0.5000 0.5000 0.0000
Sc1 Sc 0.0000 0.5000 0.5000
Sc2 Sc 0.5000 0.0000 0.5000
Rh1 Rh 0.5000 0.5000 0.5000
```

Results
D(E_F) = 6.085 states/eV/cell
ΔH_f (0 K) = -121 kJ/mol of formula units